A plane-wave DFT calculation with GGA-PBE was carried out for an optimized crystal structure of Er5Cd4Cu.

abc: 3.6182 3.6182 18.7640
angles: 90.00 90.00 90.00
Fractional coordinates of all 10 atoms:
Er: 0.0000 0.0000 0.0000
Er: 0.0000 0.0000 0.2056
Er: 0.0000 0.0000 0.4128
Er: 0.0000 0.0000 0.5872
Er: 0.0000 0.0000 0.7944
Cd: 0.5000 0.5000 0.1023
Cd: 0.5000 0.5000 0.3075
Cd: 0.5000 0.5000 0.6925
Cd: 0.5000 0.5000 0.8977
Cu: 0.5000 0.5000 0.5000

## Properties
- Energy relative to the elements: -0.295 eV per atom
- Space-group type: P4/mmm, No. 123
- V: 246 Å³ per cell



A plane-wave DFT calculation with GGA-PBE was carried out for an optimized crystal structure of Er6Cd2Cu.

abc: 6.6620 7.2387 11.8358
angles: 90.00 118.35 90.00
Fractional coordinates of all 18 atoms:
Er: 0.1149 0.0095 0.2497
Er: 0.1149 0.4905 0.7497
Er: 0.1846 0.6946 0.0410
Er: 0.1846 0.8054 0.5410
Er: 0.3524 0.1688 0.0360
Er: 0.3524 0.3312 0.5360
Er: 0.6476 0.6688 0.4640
Er: 0.6476 0.8312 0.9640
Er: 0.8154 0.1946 0.4590
Er: 0.8154 0.3054 0.9590
Er: 0.8851 0.5095 0.2503
Er: 0.8851 0.9905 0.7503
Cd: 0.3447 0.1065 0.7567
Cd: 0.3447 0.3935 0.2567
Cd: 0.6553 0.6065 0.7433
Cd: 0.6553 0.8935 0.2433
Cu: 0.5000 0.0000 0.5000
Cu: 0.5000 0.5000 0.0000

## Properties
- Energy relative to the elements: -0.047 eV per atom
- Space-group type: P2_1/c, No. 14
- V: 502 Å³ per cell



A plane-wave DFT calculation with GGA-PBE was carried out for an optimized crystal structure of ErCd6Cu6.

abc: 7.0818 7.0818 7.0818
angles: 136.75 97.88 97.73
Fractional coordinates of all 13 atoms:
Er: 0.0000 0.0000 0.0000
Cd: 0.1878 0.5000 0.6878
Cd: 0.3375 0.3375 0.0000
Cd: 0.3444 0.0000 0.3444
Cd: 0.6556 0.0000 0.6556
Cd: 0.6625 0.6625 0.0000
Cd: 0.8122 0.5000 0.3122
Cu: 0.0000 0.0000 0.5000
Cu: 0.0000 0.5000 0.0000
Cu: 0.2275 0.7275 0.5000
Cu: 0.5000 0.0000 0.0000
Cu: 0.5000 0.5000 0.5000
Cu: 0.7725 0.2725 0.5000

## Properties
- Energy relative to the elements: -0.063 eV per atom
- Space-group type: Immm, No. 71
- V: 226 Å³ per cell



A plane-wave DFT calculation with GGA-PBE was carried out for an optimized crystal structure of Er2CdCu9.

abc: 8.7141 8.7141 8.7141
angles: 33.98 33.98 33.98
Fractional coordinates of all 12 atoms:
Er: 0.1363 0.1363 0.1363
Er: 0.8637 0.8637 0.8637
Cd: 0.0000 0.0000 0.0000
Cu: 0.0798 0.5837 0.5837
Cu: 0.3329 0.3329 0.3329
Cu: 0.4163 0.4163 0.9202
Cu: 0.4163 0.9202 0.4163
Cu: 0.5000 0.5000 0.5000
Cu: 0.5837 0.0798 0.5837
Cu: 0.5837 0.5837 0.0798
Cu: 0.6671 0.6671 0.6671
Cu: 0.9202 0.4163 0.4163

## Properties
- Energy relative to the elements: -0.120 eV per atom
- Space-group type: R-3m, No. 166
- V: 184 Å³ per cell



A plane-wave DFT calculation with GGA-PBE was carried out for an optimized crystal structure of EuErCdCu.

abc: 7.3671 7.3671 7.3671
angles: 90.00 90.00 90.00
Fractional coordinates of all 16 atoms:
Eu: 0.0000 0.0000 0.0000
Eu: 0.0000 0.5000 0.5000
Eu: 0.5000 0.0000 0.5000
Eu: 0.5000 0.5000 0.0000
Er: 0.0000 0.0000 0.5000
Er: 0.0000 0.5000 0.0000
Er: 0.5000 0.0000 0.0000
Er: 0.5000 0.5000 0.5000
Cd: 0.2500 0.2500 0.2500
Cd: 0.2500 0.7500 0.7500
Cd: 0.7500 0.2500 0.7500
Cd: 0.7500 0.7500 0.2500
Cu: 0.2500 0.2500 0.7500
Cu: 0.2500 0.7500 0.2500
Cu: 0.7500 0.2500 0.2500
Cu: 0.7500 0.7500 0.7500

## Properties
- Energy relative to the elements: -0.168 eV per atom
- Space-group type: F-43m, No. 216
- V: 400 Å³ per cell



A plane-wave DFT calculation with GGA-PBE was carried out for an optimized crystal structure of ErCdGaCu.

abc: 6.7277 6.7277 6.7277
angles: 90.00 90.00 90.00
Fractional coordinates of all 16 atoms:
Er: 0.0000 0.0000 0.0000
Er: 0.0000 0.5000 0.5000
Er: 0.5000 0.0000 0.5000
Er: 0.5000 0.5000 0.0000
Cd: 0.0000 0.0000 0.5000
Cd: 0.0000 0.5000 0.0000
Cd: 0.5000 0.0000 0.0000
Cd: 0.5000 0.5000 0.5000
Ga: 0.2500 0.2500 0.7500
Ga: 0.2500 0.7500 0.2500
Ga: 0.7500 0.2500 0.2500
Ga: 0.7500 0.7500 0.7500
Cu: 0.2500 0.2500 0.2500
Cu: 0.2500 0.7500 0.7500
Cu: 0.7500 0.2500 0.7500
Cu: 0.7500 0.7500 0.2500

## Properties
- Energy relative to the elements: -0.290 eV per atom
- Space-group type: F-43m, No. 216
- V: 305 Å³ per cell



Quick rundown of uncorrected energy, same order as above: -33.5, -67.5, -35.4, -48.3, -82.1, -55.0 eV per cell